# 1
12
Lattice="-6.209 -1.659 -0.405 4.575 -4.506 -0.484 0.208 0.455 12.017" Properties=species:S:1:pos:R:3 comment="Ac2La3PrY6, optimized geometry, DFT PBE-GGA" e_tot_ev_per_atom=-5.528 magnetic_moment_mub_per_cell=0.0 spacegroup="C2/m, No. 12" pbc="T T T"
Y 0.715 -4.759 8.302
Y -1.178 -4.525 2.369
Y -0.249 -1.185 8.759
Y -2.857 -3.816 8.328
Y 1.431 -1.894 2.801
Y -2.141 -0.951 2.827
La 2.884 -3.805 5.538
La -0.713 -2.855 5.564
La -4.310 -1.905 5.590
Ac 0.979 -3.557 -0.458
Ac -2.614 -2.609 -0.431
Pr 0.000 0.000 0.000



# 2
5
Lattice="6.326 0.000 0.000 0.000 6.326 0.000 0.000 0.000 4.521" Properties=species:S:1:pos:R:3 comment="CsTe2RuN, optimized geometry, DFT PBE-GGA" e_tot_ev_per_atom=-2.529 magnetic_moment_mub_per_cell=5.7 spacegroup="P4/mmm, No. 123" de_polymorph_mev_per_atom=2275.1 pbc="T T T"
Te 3.163 0.000 0.000
Te 0.000 3.163 0.000
Ru 3.163 3.163 2.261
Cs 0.000 0.000 0.000
N 0.000 0.000 2.261